# PBE BaTbAgCl6, optimized geometry
data_BaTbAgCl6
_chemical_formula_sum 'Ba2 Tb2 Ag2 Cl12'
_space_group_name_H-M_alt 'P -3 1 c'
_space_group_IT_number 163
_space_group_name_Hall '-P 3 2c'
_cell_length_a 7.0273
_cell_length_b 7.0273
_cell_length_c 13.5083
_cell_angle_alpha 90.00
_cell_angle_beta 90.00
_cell_angle_gamma 120.00
loop_
_atom_site_label
_atom_site_fract_x
_atom_site_fract_y
_atom_site_fract_z
_atom_site_occupancy
Ba1 0.0000 0.0000 0.0000 1
Tb1 0.3333 0.6667 0.2500 1
Ag1 0.3333 0.6667 0.7500 1
Cl1 0.0144 0.3657 0.1358 1
# **D(E_F)**: 0.000 states/eV per atom
# **Theoretical density**: 3.546 g/cm³
# **Raw formation energy**: -1.95 eV/atom